Record 1
The following is a PBE calculation of crystalline Pr2TmBePd6 at its relaxed geometry, from Alexandria via LeMat-Bulk.

It has space group R-3m (No. 166, hexagonal axes), with a = 5.8560 Å, b = 5.8560 Å, c = 22.5561 Å, α = 90.00°, β = 90.00° and γ = 120.00°. The distinct sites, in fractional coordinates, are Pr at (0.0000, 0.0000, 0.2201), Tm at (0.0000, 0.0000, 0.0000), Be at (0.0000, 0.0000, 0.5000) and Pd at (0.0031, 0.5015, 0.7675).

For the formation energy, the calculation gives -610 meV/atom.

Record 2
The following is a PBE calculation of crystalline Pr3Be2ZnPd9 at its relaxed geometry, from Alexandria via LeMat-Bulk.

It has space group P-3m1 (No. 164), with a = 6.7186 Å, b = 6.7186 Å, c = 7.1155 Å, α = 90.00°, β = 90.00° and γ = 120.00°. The distinct sites, in fractional coordinates, are Pr at (0.0000, 0.0000, 0.0000), Pr at (0.3333, 0.6667, 0.6701), Be at (0.3333, 0.6667, 0.1411), Zn at (0.0000, 0.0000, 0.5000), Pd at (0.0000, 0.5000, 0.0000) and Pd at (0.1833, 0.3666, 0.3277).

For the formation energy, the calculation gives -592 meV/atom.

Record 3
The following is a PBE calculation of crystalline PrBe2ZnPd5 at its relaxed geometry, from Alexandria via LeMat-Bulk.

It has space group P4/mmm (No. 123), with a = 4.4513 Å, b = 4.4513 Å, c = 7.0937 Å, α = 90.00°, β = 90.00° and γ = 90.00°. The distinct sites, in fractional coordinates, are Pr at (0.0000, 0.0000, 0.0000), Be at (0.5000, 0.5000, 0.3375), Zn at (0.0000, 0.0000, 0.5000), Pd at (0.0000, 0.5000, 0.2935) and Pd at (0.5000, 0.5000, 0.0000).

For the formation energy, the calculation gives -512 meV/atom.

Record 4
The following is a PBE calculation of crystalline PrBeZn2Pd4 at its relaxed geometry, from Alexandria via LeMat-Bulk.

It has space group R-3m (No. 166, hexagonal axes), with a = 4.3158 Å, b = 4.3158 Å, c = 24.8570 Å, α = 90.00°, β = 90.00° and γ = 120.00°. The distinct sites, in fractional coordinates, are Pr at (0.0000, 0.0000, 0.0000), Be at (0.0000, 0.0000, 0.5000), Zn at (0.0000, 0.0000, 0.2395), Pd at (0.0000, 0.0000, 0.1347) and Pd at (0.0000, 0.0000, 0.4073).

For the formation energy, the calculation gives -569 meV/atom.

Record 5
The following is a PBE calculation of crystalline BePdPt at its relaxed geometry, from Alexandria via LeMat-Bulk.

It has space group P1 (No. 1), with a = 2.7891 Å, b = 5.3563 Å, c = 5.6844 Å, α = 73.85°, β = 77.04° and γ = 75.19°. The distinct sites, in fractional coordinates, are Be at (0.0000, 0.0000, 0.0000), Be at (0.2183, 0.9089, 0.6095), Pd at (0.2929, 0.2099, 0.2312), Pd at (0.7089, 0.6499, 0.9203), Pt at (0.5087, 0.2538, 0.6929) and Pt at (0.9303, 0.6953, 0.3806).

For the formation energy, the calculation gives -502 meV/atom.

Record 6
The following is a PBE calculation of crystalline Be2Pd3Pt3 at its relaxed geometry, from Alexandria via LeMat-Bulk.

It has space group P-62m (No. 189), with a = 6.7805 Å, b = 6.7805 Å, c = 2.7738 Å, α = 90.00°, β = 90.00° and γ = 120.00°. The distinct sites, in fractional coordinates, are Be at (0.3333, 0.6667, 0.0000), Pd at (0.0000, 0.7640, 0.0000) and Pt at (0.0000, 0.4115, 0.5000).

For the formation energy, the calculation gives -333 meV/atom.

Record 7
The following is a PBE calculation of crystalline BePdPt3 at its relaxed geometry, from Alexandria via LeMat-Bulk.

It has space group C2/m (No. 12), with a = 10.4794 Å, b = 2.7586 Å, c = 9.7811 Å, α = 90.00°, β = 94.56° and γ = 90.00°. The distinct sites, in fractional coordinates, are Be at (0.0465, 0.0000, 0.1337), Pd at (0.2235, 0.5000, 0.2424), Pt at (0.0382, 0.5000, 0.6980), Pt at (0.1337, 0.5000, 0.9654) and Pt at (0.1385, 0.0000, 0.4768).

For the formation energy, the calculation gives -331 meV/atom.

Record 8
The following is a PBE calculation of crystalline Be7Pd12Pt at its relaxed geometry, from Alexandria via LeMat-Bulk.

It has space group R-3 (No. 148, hexagonal axes), with a = 10.3040 Å, b = 10.3040 Å, c = 8.7197 Å, α = 90.00°, β = 90.00° and γ = 120.00°. The distinct sites, in fractional coordinates, are Be at (0.0000, 0.0000, 0.0000), Be at (0.0957, 0.8920, 0.3309), Pd at (0.0212, 0.4382, 0.2140), Pd at (0.0638, 0.8764, 0.8418) and Pt at (0.0000, 0.0000, 0.5000).

For the formation energy, the calculation gives -305 meV/atom.